This record from Alexandria via LeMat-Bulk describes an optimized crystal structure of ZrAlRe2. The functional is GGA-PBE.

```
ZrAlRe2
1.0
-2.236 -0.955 1.799
1.471 -2.605 0.445
3.449 2.948 5.851
Re Al Zr
2 1 1
Direct
0.000 0.000 0.008
0.500 0.500 0.210
0.500 0.500 0.786
0.000 0.000 0.496
```

total magnetic moment = 0.0 μB/f.u.
crystal system = tetragonal
electronic total energy = -38.0 eV per cell
energy of formation from the pure elements = -0.86 eV/f.u.